{
  "formula": "HfTl2AuF",
  "functional": "PBE",
  "state": "relaxed",
  "lattice_angstrom": [[5.817, 0.000, 0.000], [0.000, 5.817, 0.000], [0.000, 0.000, 4.033]],
  "species": ["Hf", "Tl", "Tl", "Au", "F"],
  "fractional_positions": [[0.000, 0.000, 0.000], [0.000, 0.500, 0.000], [0.500, 0.000, 0.000], [0.500, 0.500, 0.500], [0.000, 0.000, 0.500]],
  "m_tot_mub_per_fu": 0.0,
  "raw_formation_energy_kj_per_mol_atoms": -40.7,
  "vol_a3_per_atom": 27.29
}